NpMnFe2 | GGA-PBE | relaxed

Lattice parameters (Å, degrees): 3.8439 3.8439 3.7903 90.00 90.00 90.00
With the nearest neighbours (Å) after each atom.
Space group P4/mmm (No. 123)
Symmetry-distinct sites (fractional):
Np1 0.0000 0.0000 0.0000 (multiplicity 1)  8 Fe 2.70, 4 Mn 2.72
Mn1 0.5000 0.5000 0.0000 (multiplicity 1)  8 Fe 2.70, 4 Np 2.72
Fe1 0.0000 0.5000 0.5000 (multiplicity 2)  4 Mn 2.70, 4 Np 2.70, 4 Fe 2.72

As for the formation energy from the elements: 0.039 eV per atom.

Hf5Ti2In4 | GGA-PBE | relaxed

Lattice parameters (Å, degrees): 7.8112 3.0193 9.9183 90.00 94.52 90.00
With the nearest neighbours (Å) after each atom.
Space group P2/m (No. 10)
Symmetry-distinct sites (fractional):
Hf1 0.0000 0.0000 0.0000 (multiplicity 1)  6 Hf 3.02-3.03, 4 In 3.09
Hf2 0.0585 0.0000 0.3058 (multiplicity 2)  1 Ti 2.94, 4 Hf 3.02-3.15, 6 In 3.11-3.25
Hf3 0.3146 0.0000 0.8393 (multiplicity 2)  1 Ti 2.97, 4 Hf 3.02-3.15, 6 In 3.14-3.21
Ti1 0.4329 0.0000 0.3690 (multiplicity 2)  3 Ti 2.72-3.02, 2 Hf 2.94-2.97, 6 In 2.97-3.03
In1 0.2348 0.5000 0.5635 (multiplicity 2)  4 Ti 2.98-3.03, 2 In 3.02, 6 Hf 3.11-3.19
In2 0.3221 0.5000 0.1191 (multiplicity 2)  2 Ti 2.97, 2 In 3.02, 8 Hf 3.09-3.25

The value obtained for the excess energy over the best structure of this formula in the dataset is 0 meV/atom. As for the formation energy from the elements: -0.003 eV per atom.

Ca2CdBiP | GGA-PBE | relaxed

Lattice parameters (Å, degrees): 5.4710 5.4710 4.9591 90.00 90.00 90.00
With the nearest neighbours (Å) after each atom.
Space group P4/mmm (No. 123)
Symmetry-distinct sites (fractional):
Ca1 0.0000 0.5000 0.0000 (multiplicity 2)  2 P 2.74
Cd1 0.0000 0.0000 0.5000 (multiplicity 1)  2 P 2.48
Bi1 0.5000 0.5000 0.5000 (multiplicity 1)  8 Ca 3.69, 4 Cd 3.87
P1 0.0000 0.0000 0.0000 (multiplicity 1)  2 Cd 2.48, 4 Ca 2.74

As for the formation energy from the elements: -0.628 eV per atom.